Entry from the Alexandria database: a relaxed structure of Ho4Tl3Au (PBE).

a = 3.601 Å, b = 3.601 Å, c = 16.069 Å
α = 90.00°, β = 90.00°, γ = 90.00°
Positions (direct):
Ho1 0.000 0.000 0.109
Ho2 0.000 0.000 0.370
Ho3 0.000 0.000 0.630
Ho4 0.000 0.000 0.891
Tl1 0.500 0.500 0.241
Tl2 0.500 0.500 0.500
Tl3 0.500 0.500 0.759
Au1 0.500 0.500 0.000

* space group: P4/mmm, No. 123
* raw total energy: -32.43 eV per formula unit

***

Entry from the Alexandria database: a relaxed structure of TlI2NO (PBE).

a = 4.982 Å, b = 4.982 Å, c = 4.396 Å
α = 90.00°, β = 90.00°, γ = 90.00°
Positions (direct):
Tl1 0.000 0.000 0.000
I1 0.000 0.500 0.500
I2 0.500 0.000 0.500
N1 0.500 0.500 0.500
O1 0.500 0.500 0.000

* E above lowest polymorph: 0.0000 eV/atom
* raw formation energy: 0.971 eV per atom
* space group: P4/mmm, No. 123
* raw total energy: -13.89 eV per formula unit

***

Entry from the Alexandria database: a relaxed structure of Dy7Tl3Ga (PBE).

a = 8.028 Å, b = 8.028 Å, c = 8.028 Å
α = 138.22°, β = 105.87°, γ = 88.90°
Positions (direct):
Dy1 0.000 0.000 0.000
Dy2 0.098 0.771 0.327
Dy3 0.306 0.500 0.806
Dy4 0.444 0.771 0.673
Dy5 0.556 0.229 0.327
Dy6 0.694 0.500 0.194
Dy7 0.902 0.229 0.673
Tl1 0.271 0.271 0.000
Tl2 0.500 0.000 0.500
Tl3 0.729 0.729 0.000
Ga1 0.000 0.500 0.500

* space group: Immm, No. 71
* raw total energy: -43.75 eV per formula unit

***

Entry from the Alexandria database: a relaxed structure of Cs3Na2I4 (PBE).

a = 10.870 Å, b = 10.870 Å, c = 8.871 Å
α = 90.73°, β = 90.73°, γ = 76.27°
Positions (direct):
Cs1 0.103 0.897 0.750
Cs2 0.252 0.507 0.444
Cs3 0.493 0.748 0.056
Cs4 0.507 0.252 0.944
Cs5 0.748 0.493 0.556
Cs6 0.897 0.103 0.250
Na1 0.076 0.334 0.912
Na2 0.334 0.076 0.412
Na3 0.666 0.924 0.588
Na4 0.924 0.666 0.088
I1 0.083 0.237 0.572
I2 0.209 0.563 0.973
I3 0.237 0.083 0.072
I4 0.437 0.791 0.527
I5 0.563 0.209 0.473
I6 0.763 0.917 0.928
I7 0.791 0.437 0.027
I8 0.917 0.763 0.428

* raw formation energy: -1.192 eV per atom
* space group: C2/c, No. 15
* raw total energy: -22.13 eV per formula unit

***

Entry from the Alexandria database: a relaxed structure of Ac2Cu2O5 (PBE).

a = 3.999 Å, b = 3.999 Å, c = 7.571 Å
α = 90.00°, β = 90.00°, γ = 90.00°
Positions (direct):
Ac1 0.000 0.000 0.000
Ac2 0.000 0.000 0.500
Cu1 0.500 0.500 0.232
Cu2 0.500 0.500 0.768
O1 0.000 0.500 0.223
O2 0.000 0.500 0.777
O3 0.500 0.000 0.223
O4 0.500 0.000 0.777
O5 0.500 0.500 0.500

* E above lowest polymorph: 0.0521 eV/atom
* raw formation energy: -2.061 eV per atom
* space group: P4/mmm, No. 123
* raw total energy: -59.75 eV per formula unit

***

Entry from the Alexandria database: a relaxed structure of Nd3Sc2Ag2 (PBE).

a = 11.413 Å, b = 11.413 Å, c = 3.462 Å
α = 90.00°, β = 90.00°, γ = 155.47°
Positions (direct):
Nd1 0.000 0.000 0.000
Nd2 0.150 0.850 0.000
Nd3 0.850 0.150 0.000
Sc1 0.287 0.713 0.500
Sc2 0.713 0.287 0.500
Ag1 0.426 0.574 0.500
Ag2 0.574 0.426 0.500

* space group: Cmmm, No. 65
* raw total energy: -32.61 eV per formula unit

***

Entry from the Alexandria database: a relaxed structure of TeAu3 (PBE).

a = 4.326 Å, b = 4.326 Å, c = 4.326 Å
α = 90.00°, β = 90.00°, γ = 90.00°
Positions (direct):
Te1 0.000 0.000 0.000
Au1 0.000 0.500 0.500
Au2 0.500 0.000 0.500
Au3 0.500 0.500 0.000

* raw formation energy: 0.135 eV per atom
* space group: Pm-3m, No. 221
* raw total energy: -12.43 eV per formula unit

***

Entry from the Alexandria database: a relaxed structure of CuGeAs3 (PBE).

a = 4.736 Å, b = 4.736 Å, c = 4.736 Å
α = 90.00°, β = 90.00°, γ = 90.00°
Positions (direct):
Cu1 0.000 0.000 0.000
Ge1 0.500 0.500 0.500
As1 0.000 0.000 0.500
As2 0.000 0.500 0.000
As3 0.500 0.000 0.000

* E above lowest polymorph: 0.0000 eV/atom
* space group: Pm-3m, No. 221
* raw total energy: -19.39 eV per formula unit